Entry 1:
A plane-wave DFT calculation with PBE was carried out for a relaxed AcBS4 crystal.

Cell: 4.980 7.364 9.142 Å, 90.00 90.00 112.75°
Sites, in units of the cell vectors:
1 Ac 0.106 0.670 0.750
2 Ac 0.894 0.330 0.250
3 B 0.874 0.163 0.750
4 B 0.126 0.837 0.250
5 S 0.733 0.885 0.750
6 S 0.267 0.115 0.250
7 S 0.298 0.303 0.750
8 S 0.702 0.697 0.250
9 S 0.223 0.714 0.088
10 S 0.777 0.286 0.588
11 S 0.223 0.714 0.412
12 S 0.777 0.286 0.912

Values from the calculation:
Volume = 155 Å³/f.u.
Uncorrected formation energy = -77 kJ per mole of atoms
Size of the total moment = 0.00 μB/f.u.
Space group = P2_1/m (11)
VASP energy = -5.349 eV/atom



Entry 2:
A plane-wave DFT calculation with PBE was carried out for a relaxed Na3PdN crystal.

Cell: 4.670 4.670 4.670 Å, 90.00 90.00 90.00°
Sites, in units of the cell vectors:
1 Na 0.000 0.500 0.000
2 Na 0.000 0.000 0.500
3 Na 0.500 0.000 0.000
4 Pd 0.500 0.500 0.500
5 N 0.000 0.000 0.000

Values from the calculation:
Volume = 102 Å³/f.u.
Uncorrected formation energy = 45 kJ per mole of atoms
Size of the total moment = 0.06 μB/f.u.
Space group = Pm-3m (221)
E above lowest polymorph = 0 meV per atom
VASP energy = -3.026 eV/atom



Q: uncorrected formation energy of number 2 (Na3PdN)?
A: 45 kJ per mole of atoms



Q: What is the volume in the second record?
A: 102 Å³/f.u.